Record 1
# Nd5Co19B6

Nd5Co19B6 at its PBEsol-relaxed geometry (meta-GGA SCAN, Alexandria).

Calculated values
* N(E_F): 21.948 states/eV per cell
* E: -19.885 eV/atom
* volume: 11.96 Å³ per atom
* E_form: -5.3 eV/f.u.

Unit cell a=5.031 b=5.031 c=16.367 alpha=90.00 beta=90.00 gamma=120.00
Atoms (fractional coordinates):
1 Nd 0.000 0.000 0.000
2 Nd 0.000 0.000 0.205
3 Nd 0.000 0.000 0.406
4 Nd 0.000 0.000 0.594
5 Nd 0.000 0.000 0.795
6 Co 0.000 0.500 0.087
7 Co 0.000 0.500 0.325
8 Co 0.000 0.500 0.500
9 Co 0.000 0.500 0.675
10 Co 0.000 0.500 0.913
11 Co 0.333 0.667 0.205
12 Co 0.333 0.667 0.795
13 Co 0.500 0.000 0.087
14 Co 0.500 0.000 0.325
15 Co 0.500 0.000 0.500
16 Co 0.500 0.000 0.675
17 Co 0.500 0.000 0.913
18 Co 0.500 0.500 0.087
19 Co 0.500 0.500 0.325
20 Co 0.500 0.500 0.500
21 Co 0.500 0.500 0.675
22 Co 0.500 0.500 0.913
23 Co 0.667 0.333 0.205
24 Co 0.667 0.333 0.795
25 B 0.333 0.667 0.000
26 B 0.333 0.667 0.411
27 B 0.333 0.667 0.589
28 B 0.667 0.333 0.000
29 B 0.667 0.333 0.411
30 B 0.667 0.333 0.589

=====

Record 2
# Nd2Co7B3

Nd2Co7B3 at its PBEsol-relaxed geometry (meta-GGA SCAN, Alexandria).

Calculated values
* N(E_F): 13.224 states/eV per cell
* E: -19.450 eV/atom
* volume: 12.07 Å³ per atom
* E_form: -2.8 eV/f.u.

Unit cell a=5.130 b=5.130 c=12.707 alpha=90.00 beta=90.00 gamma=120.00
Atoms (fractional coordinates):
1 Nd 0.000 0.000 0.000
2 Nd 0.000 0.000 0.240
3 Nd 0.000 0.000 0.500
4 Nd 0.000 0.000 0.760
5 Co 0.000 0.500 0.115
6 Co 0.000 0.500 0.343
7 Co 0.000 0.500 0.657
8 Co 0.000 0.500 0.885
9 Co 0.333 0.667 0.500
10 Co 0.500 0.000 0.115
11 Co 0.500 0.000 0.343
12 Co 0.500 0.000 0.657
13 Co 0.500 0.000 0.885
14 Co 0.500 0.500 0.115
15 Co 0.500 0.500 0.343
16 Co 0.500 0.500 0.657
17 Co 0.500 0.500 0.885
18 Co 0.667 0.333 0.500
19 B 0.333 0.667 0.000
20 B 0.333 0.667 0.231
21 B 0.333 0.667 0.769
22 B 0.667 0.333 0.000
23 B 0.667 0.333 0.231
24 B 0.667 0.333 0.769

=====

Record 3
# NdCo2B2

NdCo2B2 at its PBEsol-relaxed geometry (meta-GGA SCAN, Alexandria).

Calculated values
* N(E_F): 1.947 states/eV per cell
* E: -19.078 eV/atom
* volume: 12.29 Å³ per atom
* E_form: -2.3 eV/f.u.

Unit cell a=5.503 b=5.503 c=5.503 alpha=142.46 beta=142.46 gamma=54.14
Atoms (fractional coordinates):
1 Nd 0.000 0.000 0.000
2 Co 0.250 0.750 0.500
3 Co 0.750 0.250 0.500
4 B 0.339 0.339 0.000
5 B 0.661 0.661 0.000

=====

Record 4
# Nd3Co11B4

Nd3Co11B4 at its PBEsol-relaxed geometry (meta-GGA SCAN, Alexandria).

Calculated values
* N(E_F): 12.197 states/eV per cell
* E: -19.696 eV/atom
* volume: 11.77 Å³ per atom
* E_form: -3.7 eV/f.u.

Unit cell a=5.046 b=5.046 c=9.612 alpha=90.00 beta=90.00 gamma=120.00
Atoms (fractional coordinates):
1 Nd 0.000 0.000 0.000
2 Nd 0.000 0.000 0.341
3 Nd 0.000 0.000 0.659
4 Co 0.000 0.500 0.203
5 Co 0.000 0.500 0.500
6 Co 0.000 0.500 0.797
7 Co 0.333 0.667 0.000
8 Co 0.500 0.000 0.203
9 Co 0.500 0.000 0.500
10 Co 0.500 0.000 0.797
11 Co 0.500 0.500 0.203
12 Co 0.500 0.500 0.500
13 Co 0.500 0.500 0.797
14 Co 0.667 0.333 0.000
15 B 0.333 0.667 0.349
16 B 0.333 0.667 0.651
17 B 0.667 0.333 0.349
18 B 0.667 0.333 0.651

=====

Record 5
# NdCoB5O10

NdCoB5O10 at its PBEsol-relaxed geometry (meta-GGA SCAN, Alexandria).

Calculated values
* N(E_F): 0.000 states/eV per cell
* E: -12.139 eV/atom
* volume: 9.10 Å³ per atom
* formation energy from raw total energies: -2.707 eV per atom

Unit cell a=8.677 b=7.574 c=12.450 alpha=90.00 beta=130.88 gamma=90.00
Atoms (fractional coordinates):
1 Nd 0.056 0.186 0.235
2 Nd 0.056 0.314 0.735
3 Nd 0.944 0.686 0.265
4 Nd 0.944 0.814 0.765
5 Co 0.471 0.590 0.873
6 Co 0.471 0.910 0.373
7 Co 0.529 0.090 0.627
8 Co 0.529 0.410 0.127
9 B 0.093 0.672 0.610
10 B 0.093 0.828 0.110
11 B 0.157 0.593 0.003
12 B 0.157 0.907 0.503
13 B 0.269 0.035 0.051
14 B 0.269 0.465 0.551
15 B 0.355 0.580 0.266
16 B 0.355 0.920 0.766
17 B 0.488 0.187 0.916
18 B 0.488 0.313 0.416
19 B 0.512 0.687 0.584
20 B 0.512 0.813 0.084
21 B 0.645 0.080 0.234
22 B 0.645 0.420 0.734
23 B 0.731 0.535 0.449
24 B 0.731 0.965 0.949
25 B 0.843 0.093 0.497
26 B 0.843 0.407 0.997
27 B 0.907 0.172 0.890
28 B 0.907 0.328 0.390
29 O 0.029 0.721 0.990
30 O 0.029 0.779 0.490
31 O 0.086 0.108 0.912
32 O 0.086 0.392 0.412
33 O 0.114 0.541 0.883
34 O 0.114 0.959 0.383
35 O 0.215 0.720 0.242
36 O 0.215 0.780 0.742
37 O 0.226 0.519 0.644
38 O 0.226 0.981 0.144
39 O 0.317 0.628 0.508
40 O 0.317 0.872 0.008
41 O 0.322 0.534 0.136
42 O 0.322 0.966 0.636
43 O 0.324 0.085 0.811
44 O 0.324 0.415 0.311
45 O 0.435 0.150 0.433
46 O 0.435 0.350 0.933
47 O 0.442 0.153 0.128
48 O 0.442 0.347 0.628
49 O 0.558 0.653 0.372
50 O 0.558 0.847 0.872
51 O 0.565 0.650 0.067
52 O 0.565 0.850 0.567
53 O 0.676 0.585 0.689
54 O 0.676 0.915 0.189
55 O 0.678 0.034 0.364
56 O 0.678 0.466 0.864
57 O 0.683 0.128 0.992
58 O 0.683 0.372 0.492
59 O 0.774 0.019 0.856
60 O 0.774 0.481 0.356
61 O 0.785 0.220 0.258
62 O 0.785 0.280 0.758
63 O 0.886 0.041 0.617
64 O 0.886 0.459 0.117
65 O 0.914 0.608 0.588
66 O 0.914 0.892 0.088
67 O 0.971 0.221 0.510
68 O 0.971 0.279 0.010

=====

Record 6
# Co2BO

Co2BO at its PBEsol-relaxed geometry (meta-GGA SCAN, Alexandria).

Calculated values
* N(E_F): 2.565 states/eV per cell
* E: -11.780 eV/atom
* volume: 8.14 Å³ per atom
* formation energy from raw total energies: 0.288 eV per atom

Unit cell a=3.585 b=3.585 c=3.585 alpha=60.00 beta=60.00 gamma=60.00
Atoms (fractional coordinates):
1 Co 0.250 0.250 0.250
2 Co 0.750 0.750 0.750
3 B 0.000 0.000 0.000
4 O 0.500 0.500 0.500

=====

It is found that the ρ values, taken in the order of the records, are 8.82 8.41 7.67 8.81 4.48 7.37 g/cm³.